Density functional theory data (PBE) for a relaxed structure of Pr8SmHo5.

Total DFT energy (no corrections) = -4.534 eV/atom
V = 34.9 A^3/atom
Calculated formation energy = 0.17 eV/atom
ρ = 7.2 g/cm3

extended XYZ file:
```
14
Lattice="-7.0432 4.4301 2.6008 -0.5935 -8.5211 1.1294 6.0724 4.0789 4.7424" Properties=species:S:1:pos:R:3 pbc="T T T"
Pr -2.5957 5.6136 5.5727
Ho -1.9388 0.4099 1.0994
Pr 4.3023 -1.3156 5.4057
Pr -3.6069 2.5482 3.6746
Pr 0.4400 3.8494 6.5298
Pr -2.2565 -1.6336 3.8643
Ho -0.9887 -5.0578 4.1157
Pr 0.8071 0.1280 3.2738
Ho -0.0666 -2.4236 1.2661
Pr 2.2176 -4.0913 3.4729
Sm 2.3402 1.2745 5.9644
Pr 0.6086 -1.9389 6.0813
Ho -5.9046 -2.7026 4.1825
Ho -1.3261 0.9072 5.9058
```